Density functional theory data (PBE) for crystalline YAlCo2Se at its relaxed geometry.

Cell: 4.358 4.358 5.081 Å, 90.00 90.00 90.00°
Fractional coordinates of all 5 atoms:
Y  0.000  0.000  0.000
Al  0.500  0.500  0.000
Co  0.000  0.500  0.500
Co  0.500  0.000  0.500
Se  0.500  0.500  0.500

Computed properties:
Total DFT energy (no corrections) (eV/atom): -5.33
Spin magnetization (μB per formula unit): 1.4
Energy relative to the elements, uncorrected (eV per atom): 0.25
ρ (g/cm3): 5.4

Density functional theory data (PBE) for crystalline AlCoSi4 at its relaxed geometry.

Cell: 4.941 4.941 4.941 Å, 60.00 60.00 60.00°
Fractional coordinates of all 6 atoms:
Al  0.000  0.000  0.000
Co  0.750  0.750  0.750
Si  0.375  0.375  0.375
Si  0.375  0.375  0.874
Si  0.375  0.874  0.375
Si  0.874  0.375  0.375

Computed properties:
Total DFT energy (no corrections) (eV/atom): -4.92
Spin magnetization (μB per formula unit): 1.2
Energy relative to the elements, uncorrected (eV per atom): 0.51
ρ (g/cm3): 3.9